Record 1
Density functional theory data (PBE) for an optimized crystal structure of NaBeSiAu.

Its final energy is -3.11 eV per atom.

a = 4.4481 Å, b = 4.4481 Å, c = 4.4481 Å
α = 60.00°, β = 60.00°, γ = 60.00°
Atoms (fractional coordinates):
Au (0.7500, 0.7500, 0.7500)
Be (0.0000, 0.0000, 0.0000)
Na (0.5000, 0.5000, 0.5000)
Si (0.2500, 0.2500, 0.2500)


Record 2
Density functional theory data (PBE) for an optimized crystal structure of Ta2AgGe.

The value obtained for the spin magnetization is 0.01 μB per formula unit. Its final energy is -7.28 eV per atom.

a = 4.6495 Å, b = 4.6495 Å, c = 4.6495 Å
α = 60.00°, β = 60.00°, γ = 60.00°
Atoms (fractional coordinates):
Ag (0.2500, 0.2500, 0.2500)
Ge (0.5000, 0.5000, 0.5000)
Ta (0.0000, 0.0000, 0.0000)
Ta (0.7500, 0.7500, 0.7500)


Record 3
Density functional theory data (PBE) for an optimized crystal structure of RbErSeO.

The value obtained for the spin magnetization is 0.00 μB per formula unit. Its final energy is -5.40 eV per atom.

a = 4.1986 Å, b = 4.1986 Å, c = 10.1590 Å
α = 90.00°, β = 90.00°, γ = 90.00°
Atoms (fractional coordinates):
Er (0.2500, 0.2500, 0.0875)
Er (0.7500, 0.7500, 0.9125)
O (0.7500, 0.2500, 0.0000)
O (0.2500, 0.7500, 0.0000)
Rb (0.7500, 0.2500, 0.5000)
Rb (0.2500, 0.7500, 0.5000)
Se (0.7500, 0.7500, 0.2594)
Se (0.2500, 0.2500, 0.7406)


Record 4
Density functional theory data (PBE) for an optimized crystal structure of CsHfAsO.

The value obtained for the spin magnetization is 0.00 μB per formula unit. Its final energy is -6.70 eV per atom.

a = 4.1199 Å, b = 9.0704 Å, c = 6.6915 Å
α = 90.00°, β = 90.00°, γ = 90.00°
Atoms (fractional coordinates):
As (0.0000, 0.7615, 0.4538)
As (0.0000, 0.2385, 0.9538)
Cs (0.0000, 0.1647, 0.4578)
Cs (0.0000, 0.8353, 0.9578)
Hf (0.5000, 0.4027, 0.0236)
Hf (0.5000, 0.5973, 0.5236)
O (0.5000, 0.4390, 0.3188)
O (0.5000, 0.5610, 0.8188)


Record 5
Density functional theory data (PBE) for an optimized crystal structure of AlGaCuS4.

Its final energy is -4.45 eV per atom.

a = 7.0543 Å, b = 7.0543 Å, c = 10.1642 Å
α = 90.00°, β = 90.00°, γ = 90.00°
Atoms (fractional coordinates):
Al (0.0000, 0.2607, 0.0000)
Al (0.7393, 0.0000, 0.2500)
Al (0.0000, 0.7393, 0.5000)
Al (0.2607, 0.0000, 0.7500)
Cu (0.5000, 0.2452, 0.0000)
Cu (0.7548, 0.5000, 0.2500)
Cu (0.5000, 0.7548, 0.5000)
Cu (0.2452, 0.5000, 0.7500)
Ga (0.2477, 0.7523, 0.1250)
Ga (0.2477, 0.2477, 0.3750)
Ga (0.7523, 0.2477, 0.6250)
Ga (0.7523, 0.7523, 0.8750)
S (0.7488, 0.4868, 0.0081)
S (0.7543, 0.0199, 0.0112)
S (0.9801, 0.2457, 0.2388)
S (0.5132, 0.2512, 0.2419)
S (0.5132, 0.7488, 0.2581)
S (0.9801, 0.7543, 0.2612)
S (0.7543, 0.9801, 0.4888)
S (0.7488, 0.5132, 0.4919)
S (0.2512, 0.5132, 0.5081)
S (0.2457, 0.9801, 0.5112)
S (0.0199, 0.7543, 0.7388)
S (0.4868, 0.7488, 0.7419)
S (0.4868, 0.2512, 0.7581)
S (0.0199, 0.2457, 0.7612)
S (0.2457, 0.0199, 0.9888)
S (0.2512, 0.4868, 0.9919)


Record 6
Density functional theory data (PBE) for an optimized crystal structure of Pm5Ga4.

The value obtained for the spin magnetization is 0.02 μB per formula unit. Its final energy is -4.52 eV per atom.

a = 6.0410 Å, b = 6.0410 Å, c = 10.3204 Å
α = 111.85°, β = 111.85°, γ = 44.25°
Atoms (fractional coordinates):
Ga (0.4527, 0.4527, 0.1702)
Ga (0.3871, 0.3871, 0.3877)
Ga (0.6129, 0.6129, 0.6123)
Ga (0.5473, 0.5473, 0.8298)
Pm (0.0000, 0.0000, 0.0000)
Pm (0.7580, 0.7580, 0.1730)
Pm (0.1057, 0.1057, 0.3947)
Pm (0.8943, 0.8943, 0.6053)
Pm (0.2420, 0.2420, 0.8270)


Record 7
Density functional theory data (PBE) for an optimized crystal structure of Er3Tm2ScBi2Os.

The value obtained for the spin magnetization is 0.02 μB per formula unit. Its final energy is -5.94 eV per atom.

a = 4.1994 Å, b = 8.1153 Å, c = 8.1153 Å
α = 119.76°, β = 90.00°, γ = 90.00°
Atoms (fractional coordinates):
Bi (0.5000, 0.6690, 0.3384)
Bi (0.5000, 0.3384, 0.6690)
Er (0.0000, 0.3954, 0.3954)
Er (0.0000, 0.9994, 0.6179)
Er (0.0000, 0.6179, 0.9994)
Os (0.0000, 0.9806, 0.9806)
Sc (0.5000, 0.7684, 0.7684)
Tm (0.5000, 0.2296, 0.0013)
Tm (0.5000, 0.0013, 0.2296)


Record 8
Density functional theory data (PBE) for an optimized crystal structure of Sm2Zn2SeSO2.

The value obtained for the spin magnetization is 0.00 μB per formula unit. Its final energy is -5.45 eV per atom.

a = 3.8396 Å, b = 3.8396 Å, c = 12.3092 Å
α = 90.00°, β = 90.00°, γ = 120.00°
Atoms (fractional coordinates):
O (0.6667, 0.3333, 0.2518)
O (0.6667, 0.3333, 0.8441)
S (0.0000, 0.0000, 0.0559)
Se (0.3333, 0.6667, 0.6283)
Sm (0.3333, 0.6667, 0.2909)
Sm (0.0000, 0.0000, 0.7903)
Zn (0.6667, 0.3333, 0.0100)
Zn (0.6667, 0.3333, 0.5041)


Record 9
Density functional theory data (PBE) for an optimized crystal structure of LuZnFeB.

The value obtained for the spin magnetization is 1.91 μB per formula unit. Its final energy is -4.60 eV per atom.

a = 4.2730 Å, b = 4.2730 Å, c = 4.2730 Å
α = 60.00°, β = 60.00°, γ = 60.00°
Atoms (fractional coordinates):
B (0.0000, 0.0000, 0.0000)
Fe (0.7500, 0.7500, 0.7500)
Lu (0.5000, 0.5000, 0.5000)
Zn (0.2500, 0.2500, 0.2500)


Record 10
Density functional theory data (PBE) for an optimized crystal structure of TbTlZnS3.

The value obtained for the spin magnetization is 0.00 μB per formula unit. Its final energy is -4.60 eV per atom.

a = 9.9862 Å, b = 3.9857 Å, c = 14.9013 Å
α = 90.00°, β = 90.00°, γ = 90.00°
Atoms (fractional coordinates):
S (0.6831, 0.2500, 0.0142)
S (0.9765, 0.7500, 0.1043)
S (0.2785, 0.2500, 0.2190)
S (0.7785, 0.2500, 0.2810)
S (0.4765, 0.7500, 0.3957)
S (0.1831, 0.2500, 0.4858)
S (0.8169, 0.7500, 0.5142)
S (0.5235, 0.2500, 0.6043)
S (0.2215, 0.7500, 0.7190)
S (0.7215, 0.7500, 0.7810)
S (0.0235, 0.2500, 0.8957)
S (0.3169, 0.7500, 0.9858)
Tb (0.1710, 0.2500, 0.0599)
Tb (0.6710, 0.2500, 0.4401)
Tb (0.3290, 0.7500, 0.5599)
Tb (0.8290, 0.7500, 0.9401)
Tl (0.5087, 0.7500, 0.1745)
Tl (0.0087, 0.7500, 0.3255)
Tl (0.9913, 0.2500, 0.6745)
Tl (0.4913, 0.2500, 0.8255)
Zn (0.8310, 0.2500, 0.1338)
Zn (0.3310, 0.2500, 0.3662)
Zn (0.6690, 0.7500, 0.6338)
Zn (0.1690, 0.7500, 0.8662)


Record 11
Density functional theory data (PBE) for an optimized crystal structure of LiPaCuSe3.

The value obtained for the spin magnetization is 1.00 μB per formula unit. Its final energy is -5.31 eV per atom.

a = 6.8032 Å, b = 6.8032 Å, c = 10.6480 Å
α = 90.00°, β = 90.00°, γ = 146.46°
Site moments in Bohr magnetons follow the coordinates.
Atoms (fractional coordinates):
Cu (0.4764, 0.5236, 0.2500)  -0.01
Cu (0.5236, 0.4764, 0.7500)  -0.01
Li (0.7734, 0.2266, 0.2500)  0.00
Li (0.2266, 0.7734, 0.7500)  0.00
Pa (0.0000, 0.0000, 0.0000)  0.92
Pa (0.0000, 0.0000, 0.5000)  0.93
Se (0.3546, 0.6454, 0.0778)  -0.02
Se (0.0912, 0.9088, 0.2500)  -0.02
Se (0.3546, 0.6454, 0.4222)  -0.02
Se (0.6454, 0.3546, 0.5778)  -0.02
Se (0.9088, 0.0912, 0.7500)  -0.02
Se (0.6454, 0.3546, 0.9222)  -0.02


Record 12
Density functional theory data (PBE) for an optimized crystal structure of ScFeSbAu.

The value obtained for the spin magnetization is 2.36 μB per formula unit. Its final energy is -5.73 eV per atom.

a = 4.6467 Å, b = 4.6467 Å, c = 4.6467 Å
α = 60.00°, β = 60.00°, γ = 60.00°
Atoms (fractional coordinates):
Au (0.5000, 0.5000, 0.5000)
Fe (0.7500, 0.7500, 0.7500)
Sb (0.0000, 0.0000, 0.0000)
Sc (0.2500, 0.2500, 0.2500)